CsK4Na2 | PBE-GGA | optimized geometry

relative energy among the computed polymorphs: 0.08 eV per formula unit
M_tot: 0.00 μB/f.u.
formation enthalpy at 0 K: 38 meV/atom
energy: -1.09 eV/atom

Cell lengths 10.645, 10.645, 8.199 Å; angles 90.00, 90.00, 90.00 degrees
Space group I4/m (No. 87)
Inequivalent atoms, fractional coordinates:
Cs: 0.000 0.000 0.000 (multiplicity 2)
K: 0.200 0.203 0.500 (multiplicity 8)
Na: 0.000 0.500 0.250 (multiplicity 4)